# HoEr6Sc8 | Alexandria via LeMat-Bulk | GGA-PBE | optimized geometry
# - magnetic moment (Bohr magnetons per cell) = 0.0
# - calculated total energy (Ry per atom) = -0.3944
# - calculated formation energy (eV/atom) = 0.141
data_HoEr6Sc8
_cell_length_a 8.5414
_cell_length_b 8.5414
_cell_length_c 19.7113
_cell_angle_alpha 90.00
_cell_angle_beta 90.00
_cell_angle_gamma 120.00
_symmetry_space_group_name_H-M 'R -3'
_symmetry_Int_Tables_number 148
_symmetry_space_group_name_Hall '-R 3'
loop_
_atom_site_label
_atom_site_type_symbol
_atom_site_fract_x
_atom_site_fract_y
_atom_site_fract_z
Ho1 Ho 0.0000 0.0000 0.0000
Er1 Er 0.0670 0.2499 0.7100
Sc1 Sc 0.0000 0.0000 0.4256
Sc2 Sc 0.0803 0.5542 0.8096



# CdWSe | Alexandria via LeMat-Bulk | GGA-PBE | optimized geometry
# - formation energy (no corrections) (meV per atom) = 1084
# - magnetic moment (Bohr magnetons per cell) = 0.0
# - calculated total energy (Ry per atom) = -0.3455
data_CdWSe
_cell_length_a 6.2411
_cell_length_b 6.2411
_cell_length_c 6.2411
_cell_angle_alpha 90.00
_cell_angle_beta 90.00
_cell_angle_gamma 90.00
_symmetry_space_group_name_H-M 'F -4 3 m'
_symmetry_Int_Tables_number 216
_symmetry_space_group_name_Hall 'F -4 2 3'
loop_
_atom_site_label
_atom_site_type_symbol
_atom_site_fract_x
_atom_site_fract_y
_atom_site_fract_z
Cd1 Cd 0.0000 0.0000 0.0000
W1 W 0.0000 0.0000 0.5000
Se1 Se 0.2500 0.2500 0.7500



# KHgS4 | Alexandria via LeMat-Bulk | GGA-PBE | optimized geometry
# - formation energy (no corrections) (meV per atom) = -265
# - magnetic moment (Bohr magnetons per cell) = 0.0
# - calculated total energy (Ry per atom) = -0.2388
data_KHgS4
_cell_length_a 9.6067
_cell_length_b 11.2817
_cell_length_c 7.5069
_cell_angle_alpha 90.00
_cell_angle_beta 119.28
_cell_angle_gamma 90.00
_symmetry_space_group_name_H-M 'C 1 2/c 1'
_symmetry_Int_Tables_number 15
loop_
_symmetry_equiv_pos_as_xyz
'x,y,z'
'-x,-y,-z'
'-x,y,-z+1/2'
'x,-y,z+1/2'
'x+1/2,y+1/2,z'
'-x+1/2,-y+1/2,-z'
'-x+1/2,y+1/2,-z+1/2'
'x+1/2,-y+1/2,z+1/2'
loop_
_atom_site_label
_atom_site_type_symbol
_atom_site_fract_x
_atom_site_fract_y
_atom_site_fract_z
K1 K 0.0000 0.1088 0.2500
Hg1 Hg 0.0000 0.3577 0.7500
S1 S 0.2068 0.4196 0.1068
S2 S 0.2156 0.2219 0.7028



# YCoB2 | Alexandria via LeMat-Bulk | GGA-PBE | optimized geometry
# - magnetic moment (Bohr magnetons per cell) = 0.0
# - calculated total energy (Ry per atom) = -0.5166
# - calculated formation energy (eV/atom) = -0.297
data_YCoB2
_cell_length_a 4.1138
_cell_length_b 4.1138
_cell_length_c 12.7418
_cell_angle_alpha 90.00
_cell_angle_beta 90.00
_cell_angle_gamma 90.00
_symmetry_space_group_name_H-M 'I 41/a m d'
_symmetry_Int_Tables_number 141
loop_
_symmetry_equiv_pos_as_xyz
'x,y,z'
'-x,-y,-z'
'-y+1/4,x+3/4,z+1/4'
'y+1/4,-x+3/4,-z+1/4'
'-x+1/2,-y,z+1/2'
'x+1/2,y,-z+1/2'
'y+1/4,-x+1/4,z+3/4'
'-y+1/4,x+1/4,-z+3/4'
'x,-y,-z'
'-x,y,z'
'-y+1/4,-x+1/4,-z+3/4'
'y+1/4,x+1/4,z+3/4'
'-x+1/2,y,-z+1/2'
'x+1/2,-y,z+1/2'
'y+1/4,x+3/4,-z+1/4'
'-y+1/4,-x+3/4,z+1/4'
'x+1/2,y+1/2,z+1/2'
'-x+1/2,-y+1/2,-z+1/2'
'-y+3/4,x+1/4,z+3/4'
'y+3/4,-x+1/4,-z+3/4'
'-x,-y+1/2,z'
'x,y+1/2,-z'
'y+3/4,-x+3/4,z+1/4'
'-y+3/4,x+3/4,-z+1/4'
'x+1/2,-y+1/2,-z+1/2'
'-x+1/2,y+1/2,z+1/2'
'-y+3/4,-x+3/4,-z+1/4'
'y+3/4,x+3/4,z+1/4'
'-x,y+1/2,-z'
'x,-y+1/2,z'
'y+3/4,x+1/4,-z+3/4'
'-y+3/4,-x+1/4,z+3/4'
loop_
_atom_site_label
_atom_site_type_symbol
_atom_site_fract_x
_atom_site_fract_y
_atom_site_fract_z
Y1 Y 0.0000 0.2500 0.3750
Co1 Co 0.0000 0.2500 0.8750
B1 B 0.0000 0.0000 0.0000



# MgPBr2 | Alexandria via LeMat-Bulk | GGA-PBE | optimized geometry
# - formation energy (no corrections) (meV per atom) = -537
# - magnetic moment (Bohr magnetons per cell) = 0.0
# - calculated total energy (Ry per atom) = -0.2297
data_MgPBr2
_cell_length_a 7.3770
_cell_length_b 3.5652
_cell_length_c 8.9383
_cell_angle_alpha 90.00
_cell_angle_beta 93.35
_cell_angle_gamma 90.00
_symmetry_space_group_name_H-M 'C 1 m 1'
_symmetry_Int_Tables_number 8
loop_
_symmetry_equiv_pos_as_xyz
'x,y,z'
'x,-y,z'
'x+1/2,y+1/2,z'
'x+1/2,-y+1/2,z'
loop_
_atom_site_label
_atom_site_type_symbol
_atom_site_fract_x
_atom_site_fract_y
_atom_site_fract_z
Mg1 Mg 0.0000 0.0000 0.0000
P1 P 0.1870 0.5000 0.8473
Br1 Br 0.1331 0.5000 0.6039
Br2 Br 0.3337 0.0000 0.1739



# AcThRhS | Alexandria via LeMat-Bulk | GGA-PBE | optimized geometry
# - formation energy (no corrections) (meV per atom) = -1250
# - magnetic moment (Bohr magnetons per cell) = 0.0
# - calculated total energy (Ry per atom) = -0.5146
data_AcThRhS
_cell_length_a 4.0985
_cell_length_b 4.0985
_cell_length_c 22.9358
_cell_angle_alpha 90.00
_cell_angle_beta 90.00
_cell_angle_gamma 120.00
_symmetry_space_group_name_H-M 'R 3 m'
_symmetry_Int_Tables_number 160
_symmetry_space_group_name_Hall 'R 3 -2"'
loop_
_atom_site_label
_atom_site_type_symbol
_atom_site_fract_x
_atom_site_fract_y
_atom_site_fract_z
Ac1 Ac 0.0000 0.0000 0.0000
Th1 Th 0.0000 0.0000 0.1828
Rh1 Rh 0.0000 0.0000 0.5821
S1 S 0.0000 0.0000 0.7654



Please write out number 1 again, unchanged.
# HoEr6Sc8 | Alexandria via LeMat-Bulk | GGA-PBE | optimized geometry
# - magnetic moment (Bohr magnetons per cell) = 0.0
# - calculated total energy (Ry per atom) = -0.3944
# - calculated formation energy (eV/atom) = 0.141
data_HoEr6Sc8
_cell_length_a 8.5414
_cell_length_b 8.5414
_cell_length_c 19.7113
_cell_angle_alpha 90.00
_cell_angle_beta 90.00
_cell_angle_gamma 120.00
_symmetry_space_group_name_H-M 'R -3'
_symmetry_Int_Tables_number 148
_symmetry_space_group_name_Hall '-R 3'
loop_
_atom_site_label
_atom_site_type_symbol
_atom_site_fract_x
_atom_site_fract_y
_atom_site_fract_z
Ho1 Ho 0.0000 0.0000 0.0000
Er1 Er 0.0670 0.2499 0.7100
Sc1 Sc 0.0000 0.0000 0.4256
Sc2 Sc 0.0803 0.5542 0.8096